No. 1
Compound: TmZn2TeO8
Source: Alexandria
Functional: GGA-PBE
Structure: optimized geometry

```
TmZn2TeO8
1.0
-3.3786 3.3786 3.2970
3.3786 -3.3786 3.2970
3.3786 3.3786 -3.2970
Tm Zn Te O
1 2 1 8
Direct
0.0000 0.0000 0.0000
0.2500 0.7500 0.5000
0.5000 0.5000 0.0000
0.7500 0.2500 0.5000
0.0207 0.3507 0.3299
0.0207 0.6908 0.6701
0.0895 0.2935 0.7960
0.3092 0.9793 0.3299
0.4975 0.2935 0.2040
0.6493 0.9793 0.6701
0.7065 0.5025 0.7960
0.7065 0.9105 0.2040
```

## Properties
density of states at the Fermi level: 8.1 states/eV per cell
crystal system: tetragonal
formation energy from raw total energies: -1344 kJ/mol of formula units
mass density: 6.13 g/cm³
SG: I-4m2

No. 2
Compound: La5Ni4
Source: Alexandria
Functional: GGA-PBE
Structure: optimized geometry

```
La5Ni4
1.0
5.9239 -1.9395 0.0000
5.9239 1.9395 0.0000
-3.4665 0.0000 9.7271
La Ni
5 4
Direct
0.0000 0.0000 0.0000
0.1008 0.1008 0.3958
0.2256 0.2256 0.8183
0.7744 0.7744 0.1817
0.8992 0.8992 0.6042
0.3969 0.3969 0.3944
0.4611 0.4611 0.1793
0.5389 0.5389 0.8207
0.6031 0.6031 0.6056
```

## Properties
density of states at the Fermi level: 9.2 states/eV per cell
crystal system: monoclinic
excess energy over the best structure of this formula in the dataset: 0.0000 eV per atom
energy of formation: -288 meV/atom
mass density: 6.90 g/cm³
SG: C2/m

No. 3
Compound: MnSe3
Source: Alexandria
Functional: GGA-PBE
Structure: optimized geometry

```
MnSe3
1.0
-1.6728 5.6367 2.5133
1.6728 -5.6367 2.5133
1.6728 5.6367 -2.5133
Mn Se
1 3
Direct
0.0000 0.0000 0.0000
0.3572 0.8572 0.5000
0.6971 0.3374 0.3596
0.9778 0.3374 0.6404
```

## Properties
density of states at the Fermi level: 1.5 states/eV per cell
crystal system: orthorhombic
formation energy from raw total energies: -45 kJ/mol of formula units
mass density: 5.11 g/cm³
SG: Imm2